[1]
First-principles (PBE) data for a geometry-optimized RbNiSb3 structure, as listed in Alexandria.

Fermi-level density of states: 1.47 states/eV/f.u.
Polymorph energy (0 for the lowest one): 0.000 eV per atom
E_tot: -4.003 eV/atom
Size of the total moment: 0.00 μB per formula unit

Structure (extended XYZ):
```
10
Lattice="6.062 0.001 0.000 0.001 7.646 -0.250 0.000 -0.224 6.894" Properties=species:S:1:pos:R:3 pbc="T T T"
Rb 2.734 2.105 4.912
Rb 5.762 0.394 1.215
Ni 1.001 5.394 4.691
Ni 4.032 4.745 1.187
Sb 2.040 3.265 1.512
Sb 2.990 5.917 6.156
Sb 5.657 3.972 3.055
Sb 5.073 6.876 4.365
Sb 6.021 4.001 6.617
Sb 2.626 6.171 2.824
```


[2]
First-principles (PBE) data for a geometry-optimized Sm3CdTe6 structure, as listed in Alexandria.

Fermi-level density of states: 4.76 states/eV/f.u.
E_tot: -4.485 eV/atom
Size of the total moment: 0.00 μB per formula unit

Structure (extended XYZ):
```
20
Lattice="-6.370 -2.390 -3.443 0.396 -8.155 4.928 -5.219 5.242 6.018" Properties=species:S:1:pos:R:3 pbc="T T T"
Sm -6.526 -4.837 7.228
Sm -10.784 -3.472 5.715
Sm -5.364 -1.062 4.277
Sm -7.461 -4.852 2.344
Sm -7.671 -1.593 -1.348
Sm -3.414 -2.957 0.165
Cd -4.091 2.349 5.746
Cd -4.063 -6.512 3.400
Te -4.123 -2.915 6.600
Te -7.768 -3.011 4.968
Te -5.948 0.534 6.955
Te -6.586 -6.739 4.738
Te -6.187 4.325 5.348
Te -8.036 0.641 3.553
Te -1.803 -5.435 4.682
Te -4.158 -9.309 2.614
Te -4.200 1.590 2.985
Te -4.837 -5.683 0.769
Te -2.542 -1.961 3.013
Te -6.188 -2.056 1.381
```


[3]
First-principles (PBE) data for a geometry-optimized Ba2IrPt structure, as listed in Alexandria.

Fermi-level density of states: 5.62 states/eV/f.u.
E_tot: -4.599 eV/atom
Energy of formation: 0.088 eV per atom
Size of the total moment: 1.01 μB per formula unit

Structure (extended XYZ):
```
4
Lattice="-0.501 -1.543 4.099 -2.214 -3.749 0.689 5.903 -5.919 0.863" Properties=species:S:1:pos:R:3 pbc="T T T"
Ir 2.391 -8.408 4.238
Ba -2.670 -5.321 4.784
Ba 1.549 -5.577 2.830
Pt 0.797 -2.803 1.413
```


[4]
First-principles (PBE) data for a geometry-optimized NaSrV structure, as listed in Alexandria.

Fermi-level density of states: 2.67 states/eV/f.u.
Polymorph energy (0 for the lowest one): 0.061 eV per atom
E_tot: -3.587 eV/atom
Energy of formation: 0.453 eV per atom
Size of the total moment: 0.00 μB per formula unit

Structure (extended XYZ):
```
6
Lattice="-0.915 10.307 -14.268 3.547 1.118 -2.016 -1.844 -3.807 -0.035" Properties=species:S:1:pos:R:3 pbc="T T T"
Sr 1.489 7.957 -13.424
Sr -0.342 -0.906 -3.329
V 3.051 0.226 -1.996
V -1.904 6.824 -14.757
Na -0.549 1.409 -6.555
Na 1.706 5.626 -10.209
```


[5]
First-principles (PBE) data for a geometry-optimized Rb2BiAs2O6 structure, as listed in Alexandria.

Fermi-level density of states: 3.25 states/eV/f.u.
E_tot: -5.446 eV/atom
Size of the total moment: 0.00 μB per formula unit

Structure (extended XYZ):
```
11
Lattice="-0.041 -5.981 -1.406 1.816 4.117 -4.141 5.016 -1.436 5.963" Properties=species:S:1:pos:R:3 pbc="T T T"
Rb 1.859 -2.821 -1.477
Rb 4.931 -0.479 1.893
Bi 2.487 -3.709 2.279
As 5.536 -3.100 -0.400
As 1.254 -0.200 0.816
O 4.068 -3.315 0.558
O 3.078 2.274 -2.649
O 3.734 -2.405 3.810
O 3.712 -5.574 3.065
O 3.057 -0.895 -3.394
O 2.722 0.015 -0.142
```


[6]
First-principles (PBE) data for a geometry-optimized BaPm3Si2 structure, as listed in Alexandria.

Fermi-level density of states: 3.06 states/eV/f.u.
E_tot: -4.911 eV/atom
Size of the total moment: 0.00 μB per formula unit

Structure (extended XYZ):
```
6
Lattice="-3.869 0.206 1.634 2.559 -2.727 6.404 -0.090 7.327 -1.137" Properties=species:S:1:pos:R:3 pbc="T T T"
Ba 0.000 0.000 0.000
Pm -1.979 3.767 0.248
Pm -0.700 2.403 3.450
Pm -0.655 -1.260 4.019
Si 1.676 0.624 3.890
Si 0.793 3.976 1.376
```


[7]
First-principles (PBE) data for a geometry-optimized Li5Cd4Ga structure, as listed in Alexandria.

Fermi-level density of states: 4.33 states/eV/f.u.
E_tot: -1.875 eV/atom
Energy of formation: -0.249 eV per atom
Size of the total moment: 0.00 μB per formula unit

Structure (extended XYZ):
```
10
Lattice="3.333 0.000 0.000 0.000 3.333 0.000 0.000 0.000 16.012" Properties=species:S:1:pos:R:3 pbc="T T T"
Li 1.667 1.667 1.494
Li 1.667 1.667 4.786
Li 1.667 1.667 8.006
Li 1.667 1.667 11.226
Li 1.667 1.667 14.518
Cd 0.000 0.000 3.158
Cd 0.000 0.000 6.395
Cd 0.000 0.000 9.618
Cd 0.000 0.000 12.854
Ga 0.000 0.000 0.000
```


[8]
First-principles (PBE) data for a geometry-optimized ErTm4Mg7 structure, as listed in Alexandria.

Fermi-level density of states: 12.56 states/eV/f.u.
Polymorph energy (0 for the lowest one): 0.188 eV per atom
E_tot: -2.624 eV/atom
Energy of formation: 0.177 eV per atom
Size of the total moment: 0.00 μB per formula unit

Structure (extended XYZ):
```
12
Lattice="-3.544 -2.698 -3.383 6.168 -4.210 -7.726 -1.405 -5.981 1.619" Properties=species:S:1:pos:R:3 pbc="T T T"
Er 0.000 0.000 0.000
Tm -1.582 -5.863 -2.914
Tm 2.801 -7.027 -6.576
Tm 0.393 -9.797 -6.468
Tm 0.826 -3.093 -3.022
Mg 2.205 -9.090 -8.930
Mg -0.986 -3.800 -0.560
Mg 3.676 -4.175 -5.144
Mg -2.456 -8.715 -4.346
Mg 0.760 -7.660 -3.933
Mg -1.772 -1.349 -1.691
Mg 0.460 -5.230 -5.557
```


[9]
First-principles (PBE) data for a geometry-optimized Hf3HgC structure, as listed in Alexandria.

Fermi-level density of states: 6.09 states/eV/f.u.
Polymorph energy (0 for the lowest one): 0.515 eV per atom
E_tot: -7.871 eV/atom
Energy of formation: 0.006 eV per atom
Size of the total moment: 0.00 μB per formula unit

Structure (extended XYZ):
```
10
Lattice="3.212 -1.855 0.000 0.000 3.709 0.000 0.000 0.000 17.471" Properties=species:S:1:pos:R:3 pbc="T T T"
C 1.071 1.855 13.103
C 2.142 0.000 4.368
Hf 0.000 0.000 4.368
Hf 0.000 0.000 13.103
Hf 1.071 1.855 15.352
Hf 1.071 1.855 10.854
Hf 2.142 0.000 6.616
Hf 2.142 0.000 2.119
Hg 0.000 0.000 0.000
Hg 0.000 0.000 8.735
```


[10]
First-principles (PBE) data for a geometry-optimized CaAl2Ga structure, as listed in Alexandria.

Fermi-level density of states: 3.37 states/eV/f.u.
E_tot: -2.807 eV/atom
Energy of formation: 0.321 eV per atom
Size of the total moment: 0.00 μB per formula unit

Structure (extended XYZ):
```
4
Lattice="4.217 0.000 0.000 2.108 3.652 0.000 2.108 1.217 8.013" Properties=species:S:1:pos:R:3 pbc="T T T"
Ca 0.000 0.000 0.000
Al 2.108 1.217 4.903
Al 6.325 3.652 3.110
Ga 4.217 2.435 4.006
```


[11]
First-principles (PBE) data for a geometry-optimized Cr2ReTe structure, as listed in Alexandria.

Fermi-level density of states: 3.94 states/eV/f.u.
E_tot: -8.199 eV/atom
Size of the total moment: 0.11 μB per formula unit

Structure (extended XYZ):
```
4
Lattice="4.751 -0.010 0.008 3.780 2.878 0.008 0.816 0.274 4.507" Properties=species:S:1:pos:R:3 pbc="T T T"
Cr 0.874 0.294 4.387
Cr 7.015 2.359 3.377
Re 4.617 1.553 2.450
Te 2.329 0.783 1.076
```


[12]
First-principles (PBE) data for a geometry-optimized Pr2DyCu4 structure, as listed in Alexandria.

Fermi-level density of states: 7.10 states/eV/f.u.
E_tot: -4.347 eV/atom
Energy of formation: 0.017 eV per atom
Size of the total moment: 0.00 μB per formula unit

Structure (extended XYZ):
```
7
Lattice="4.940 -0.013 -1.570 -0.515 4.913 -1.570 -0.479 -0.531 7.008" Properties=species:S:1:pos:R:3 pbc="T T T"
Pr 2.931 3.246 0.685
Pr 1.015 1.123 3.183
Cu 1.109 3.970 3.502
Cu 3.836 1.507 3.502
Cu 2.837 0.400 0.366
Cu 0.109 2.863 0.366
Dy 0.000 0.000 0.000
```


[13]
First-principles (PBE) data for a geometry-optimized PmAs2Au structure, as listed in Alexandria.

Fermi-level density of states: 2.35 states/eV/f.u.
Polymorph energy (0 for the lowest one): 0.130 eV per atom
E_tot: -4.957 eV/atom
Energy of formation: -0.625 eV per atom
Size of the total moment: 0.00 μB per formula unit

Structure (extended XYZ):
```
4
Lattice="-1.078 -0.683 -3.824 -4.096 -1.490 1.421 -1.655 4.265 -0.296" Properties=species:S:1:pos:R:3 pbc="T T T"
As -0.827 2.133 -0.148
As -2.048 -0.745 0.710
Au -0.539 -0.342 -1.912
Pm -3.414 1.046 -1.350
```


[14]
First-principles (PBE) data for a geometry-optimized PmTiHgAu structure, as listed in Alexandria.

Fermi-level density of states: 3.77 states/eV/f.u.
E_tot: -4.337 eV/atom
Energy of formation: -0.281 eV per atom
Size of the total moment: 2.03 μB per formula unit

Structure (extended XYZ):
```
4
Lattice="-3.863 -2.882 -1.492 0.503 -5.018 -0.140 -2.444 -2.874 3.349" Properties=species:S:1:pos:R:3 pbc="T T T"
Ti -1.451 -2.694 0.429
Au 0.000 0.000 0.000
Hg -2.902 -5.387 0.859
Pm -4.353 -8.081 1.288
```


[15]
First-principles (PBE) data for a geometry-optimized K2NiW structure, as listed in Alexandria.

Fermi-level density of states: 4.09 states/eV/f.u.
Polymorph energy (0 for the lowest one): 0.000 eV per atom
E_tot: -4.394 eV/atom
Energy of formation: 0.839 eV per atom
Size of the total moment: 0.00 μB per formula unit

Structure (extended XYZ):
```
4
Lattice="-0.973 3.376 -1.682 -2.738 -0.571 0.437 -2.772 4.070 9.770" Properties=species:S:1:pos:R:3 pbc="T T T"
K -2.646 3.712 8.981
K -1.953 2.969 2.576
Ni -2.793 2.140 5.909
W -4.618 3.873 5.933
```


[16]
First-principles (PBE) data for a geometry-optimized BeGeRh2 structure, as listed in Alexandria.

Fermi-level density of states: 0.46 states/eV/f.u.
E_tot: -5.546 eV/atom
Energy of formation: 0.216 eV per atom
Size of the total moment: 0.00 μB per formula unit

Structure (extended XYZ):
```
8
Lattice="5.209 0.000 0.000 0.000 5.209 0.000 2.604 2.604 5.114" Properties=species:S:1:pos:R:3 pbc="T T T"
Be 2.604 2.604 0.000
Be 2.604 5.209 2.557
Ge 0.000 0.000 0.000
Ge 5.209 2.604 2.557
Rh 3.695 1.302 1.278
Rh 1.514 3.907 1.278
Rh 3.907 4.119 3.835
Rh 6.511 6.299 3.835
```


[17]
First-principles (PBE) data for a geometry-optimized CdGa3 structure, as listed in Alexandria.

Fermi-level density of states: 2.19 states/eV/f.u.
E_tot: -2.452 eV/atom
Energy of formation: 0.047 eV per atom
Size of the total moment: 0.00 μB per formula unit

Structure (extended XYZ):
```
4
Lattice="-0.194 -2.322 1.855 1.892 -0.241 2.287 -6.174 4.627 7.537" Properties=species:S:1:pos:R:3 pbc="T T T"
Cd 0.000 0.000 0.000
Ga -2.238 1.032 5.839
Ga -0.154 -1.057 5.833
Ga -4.321 3.121 5.845
```


[18]
First-principles (PBE) data for a geometry-optimized FeAg2Pd2 structure, as listed in Alexandria.

Fermi-level density of states: 4.71 states/eV/f.u.
Polymorph energy (0 for the lowest one): 0.000 eV per atom
E_tot: -4.669 eV/atom
Energy of formation: 0.242 eV per atom
Size of the total moment: 3.94 μB per formula unit

Structure (extended XYZ):
```
10
Lattice="6.457 0.000 0.000 0.000 6.457 0.000 0.000 0.000 4.165" Properties=species:S:1:pos:R:3 pbc="T T T"
Pd 2.302 5.530 0.000
Pd 5.530 4.155 0.000
Pd 4.155 0.926 0.000
Pd 0.926 2.302 0.000
Ag 1.043 4.271 2.082
Ag 4.271 5.414 2.082
Ag 5.414 2.185 2.082
Ag 2.185 1.043 2.082
Fe 0.000 0.000 0.000
Fe 3.228 3.228 0.000
```


[19]
First-principles (PBE) data for a geometry-optimized Tl2HgP structure, as listed in Alexandria.

Fermi-level density of states: 1.75 states/eV/f.u.
Polymorph energy (0 for the lowest one): 0.162 eV per atom
E_tot: -2.332 eV/atom
Energy of formation: 0.279 eV per atom
Size of the total moment: 0.00 μB per formula unit

Structure (extended XYZ):
```
4
Lattice="5.105 0.000 0.000 0.000 5.108 0.000 0.000 0.000 3.966" Properties=species:S:1:pos:R:3 pbc="T T T"
Hg 2.552 0.000 1.983
P 0.000 2.554 1.983
Tl 0.000 0.000 0.000
Tl 2.552 2.554 0.000
```


[20]
First-principles (PBE) data for a geometry-optimized BaAs2RuRh structure, as listed in Alexandria.

Fermi-level density of states: 2.16 states/eV/f.u.
E_tot: -6.356 eV/atom
Energy of formation: -0.786 eV per atom
Size of the total moment: 0.00 μB per formula unit

Structure (extended XYZ):
```
5
Lattice="4.141 0.000 0.000 0.000 4.141 0.000 -2.071 -2.071 6.389" Properties=species:S:1:pos:R:3 pbc="T T T"
Ba 0.000 0.000 0.000
As 2.071 2.071 1.877
As 0.000 0.000 4.512
Ru 0.000 2.071 3.194
Rh 2.071 0.000 3.194
```


[21]
First-principles (PBE) data for a geometry-optimized Ba3WSe structure, as listed in Alexandria.

Fermi-level density of states: 2.11 states/eV/f.u.
Polymorph energy (0 for the lowest one): 0.000 eV per atom
E_tot: -4.066 eV/atom
Size of the total moment: 0.00 μB per formula unit

Structure (extended XYZ):
```
5
Lattice="-4.035 0.147 -4.212 -0.126 -5.833 -0.083 -4.213 0.033 4.037" Properties=species:S:1:pos:R:3 pbc="T T T"
Se -4.187 -2.826 -0.129
Ba -0.063 -2.916 -0.042
Ba -2.106 0.017 2.018
Ba -2.018 0.074 -2.106
W 0.000 0.000 0.000
```


[22]
First-principles (PBE) data for a geometry-optimized CaCo3As structure, as listed in Alexandria.

Fermi-level density of states: 7.92 states/eV/f.u.
Polymorph energy (0 for the lowest one): 0.000 eV per atom
E_tot: -5.376 eV/atom
Energy of formation: 0.218 eV per atom
Size of the total moment: 3.81 μB per formula unit

Structure (extended XYZ):
```
5
Lattice="4.449 0.000 0.000 0.000 4.449 0.000 0.000 0.000 4.449" Properties=species:S:1:pos:R:3 pbc="T T T"
As 0.000 0.000 0.000
Co 0.000 2.225 0.000
Co 0.000 0.000 2.225
Co 2.225 0.000 0.000
Ca 2.225 2.225 2.225
```


[23]
First-principles (PBE) data for a geometry-optimized YTm4Te5 structure, as listed in Alexandria.

Fermi-level density of states: 5.20 states/eV/f.u.
Polymorph energy (0 for the lowest one): 0.000 eV per atom
E_tot: -5.207 eV/atom
Size of the total moment: 0.00 μB per formula unit

Structure (extended XYZ):
```
10
Lattice="-2.835 1.274 -2.921 -2.020 -3.742 0.328 -6.626 7.117 12.649" Properties=species:S:1:pos:R:3 pbc="T T T"
Y 0.000 0.000 0.000
Tm -7.370 4.789 9.241
Tm -7.659 2.166 5.264
Tm -3.822 2.483 4.792
Tm -4.111 -0.140 0.815
Te -1.887 1.226 2.367
Te -2.427 -1.234 -1.296
Te -9.593 3.422 7.689
Te -5.570 3.619 6.984
Te -5.911 1.030 3.072
```


[24]
First-principles (PBE) data for a geometry-optimized La3SmEr structure, as listed in Alexandria.

Fermi-level density of states: 4.80 states/eV/f.u.
Polymorph energy (0 for the lowest one): 0.230 eV per atom
E_tot: -4.528 eV/atom
Energy of formation: 0.285 eV per atom
Size of the total moment: 0.00 μB per formula unit

Structure (extended XYZ):
```
10
Lattice="7.370 0.000 -2.851 -0.401 6.578 -1.036 -1.246 1.144 7.730" Properties=species:S:1:pos:R:3 pbc="T T T"
La 4.851 5.622 1.589
La 3.333 2.561 4.211
La 0.872 2.100 2.253
La 0.369 2.561 5.358
La 2.390 5.161 -0.369
La 5.354 5.161 -1.516
Sm -0.201 3.289 -0.518
Sm 0.000 0.000 0.000
Er 1.328 5.698 3.433
Er 4.395 2.024 0.409
```


[25]
First-principles (PBE) data for a geometry-optimized TbHoTlPb structure, as listed in Alexandria.

Fermi-level density of states: 3.24 states/eV/f.u.
Polymorph energy (0 for the lowest one): 0.000 eV per atom
E_tot: -4.211 eV/atom
Energy of formation: -0.390 eV per atom
Size of the total moment: 0.00 μB per formula unit

Structure (extended XYZ):
```
4
Lattice="5.013 0.000 0.000 0.000 5.013 0.001 -2.506 -2.506 4.402" Properties=species:S:1:pos:R:3 pbc="T T T"
Tb 2.506 0.000 2.201
Ho 0.000 2.507 2.201
Tl 0.000 5.013 0.001
Pb 0.000 0.000 4.402
```